Entry 1:
Here is a relaxed Ta7Nb5 crystal from the Alexandria database. Energies are from GGA-PBE.

## Properties
Symmetry   C2/m (12)
Raw total energy   -10.913 eV per atom
ΔH_f (0 K)   197 meV/atom

a b c (Å): 3.191 5.461 14.352
angles (deg): 108.97 90.00 106.99
Sites, in units of the cell vectors:
Nb: 0.517 0.034 0.743
Nb: 0.162 0.324 0.419
Nb: 0.000 0.000 0.000
Nb: 0.838 0.676 0.581
Nb: 0.483 0.966 0.257
Ta: 0.199 0.398 0.908
Ta: 0.174 0.348 0.659
Ta: 0.155 0.310 0.189
Ta: 0.801 0.602 0.092
Ta: 0.500 0.000 0.500
Ta: 0.845 0.690 0.811
Ta: 0.826 0.652 0.341

***

Entry 2:
Here is a relaxed TaNb3 crystal from the Alexandria database. Energies are from GGA-PBE.

## Properties
Symmetry   Pmm2 (25)
Raw total energy   -10.331 eV per atom
ΔH_f (0 K)   185 meV/atom

a b c (Å): 2.698 4.977 5.553
angles (deg): 90.00 90.00 90.00
Sites, in units of the cell vectors:
Ta: 0.000 0.000 0.032
Nb: 0.000 0.500 0.299
Nb: 0.500 0.500 0.801
Nb: 0.500 0.000 0.534

***

Entry 3:
Here is a relaxed Ta3Nb7 crystal from the Alexandria database. Energies are from GGA-PBE.

## Properties
Symmetry   C2/m (12)
Raw total energy   -10.631 eV per atom
ΔH_f (0 K)   -26 meV/atom

a b c (Å): 4.685 5.781 7.191
angles (deg): 82.71 109.01 90.00
Sites, in units of the cell vectors:
Nb: 0.600 0.799 0.201
Nb: 0.400 0.701 0.800
Nb: 0.799 0.895 0.598
Nb: 0.201 0.105 0.402
Nb: 0.600 0.299 0.200
Nb: 0.400 0.201 0.799
Nb: 0.000 0.500 0.000
Ta: 0.801 0.396 0.601
Ta: 0.199 0.604 0.399
Ta: 0.000 0.000 0.000

***

Entry 4:
Here is a relaxed TaNb6 crystal from the Alexandria database. Energies are from GGA-PBE.

## Properties
Symmetry   P4/mmm (123)
Raw total energy   -9.963 eV per atom
ΔH_f (0 K)   362 meV/atom

a b c (Å): 4.616 4.616 6.495
angles (deg): 90.00 90.00 90.00
Sites, in units of the cell vectors:
Nb: 0.000 0.500 0.255
Nb: 0.500 0.500 0.000
Nb: 0.000 0.500 0.745
Nb: 0.000 0.000 0.500
Nb: 0.500 0.000 0.255
Nb: 0.500 0.000 0.745
Ta: 0.000 0.000 0.000

***

Entry 5:
Here is a relaxed Ta3Nb13 crystal from the Alexandria database. Energies are from GGA-PBE.

## Properties
Symmetry   Amm2 (38)
Raw total energy   -10.426 eV per atom
ΔH_f (0 K)   -22 meV/atom

a b c (Å): 6.628 6.628 6.624
angles (deg): 90.00 90.00 90.02
Sites, in units of the cell vectors:
Nb: 0.500 0.500 0.750
Nb: 0.250 0.750 0.500
Nb: 0.500 0.500 0.250
Nb: 0.000 0.500 0.250
Nb: 0.750 0.750 0.500
Nb: 0.750 0.750 0.000
Nb: 0.500 0.000 0.250
Nb: 0.000 0.500 0.750
Nb: 0.500 0.000 0.750
Nb: 0.250 0.750 0.000
Nb: 0.250 0.250 0.500
Nb: 0.250 0.250 0.000
Nb: 0.750 0.250 0.500
Ta: 0.000 0.000 0.750
Ta: 0.000 0.000 0.250
Ta: 0.750 0.250 0.000

***

Entry 6:
Here is a relaxed Ta6Nb5 crystal from the Alexandria database. Energies are from GGA-PBE.

## Properties
Symmetry   P-1 (2)
Raw total energy   -11.054 eV per atom
ΔH_f (0 K)   -12 meV/atom

a b c (Å): 4.695 7.417 7.229
angles (deg): 108.33 108.82 108.23
Sites, in units of the cell vectors:
Ta: 0.318 0.770 0.866
Ta: 0.682 0.230 0.134
Ta: 0.863 0.952 0.775
Ta: 0.137 0.048 0.225
Ta: 0.228 0.411 0.046
Ta: 0.772 0.589 0.954
Nb: 0.500 0.500 0.500
Nb: 0.408 0.134 0.683
Nb: 0.048 0.686 0.410
Nb: 0.952 0.314 0.590
Nb: 0.592 0.866 0.317